# YAs2Au

YAs2Au after structural relaxation (PBE-GGA, the Alexandria database).

a = 3.8754 Å, b = 3.9799 Å, c = 5.9769 Å
α = 90.00°, β = 91.07°, γ = 90.00°
Closest atoms and distances in Å follow each position.
Atoms (fractional coordinates):
Y 0.0000 0.0000 0.0000  8 As 3.04-3.09
As 0.4825 0.5000 0.7827  1 As 2.60, 2 Au 2.61
As 0.5175 0.5000 0.2173  1 As 2.60, 2 Au 2.61
Au 0.5000 0.0000 0.5000  4 As 2.61

Theoretical density (Mg/m³): 7.85
DOS(E_F) (states/eV/atom): 0.45
Formation energy (eV per atom): -0.5762
Symmetry: P2/m, No. 10

=====

# Y2As4Au

Y2As4Au after structural relaxation (PBE-GGA, the Alexandria database).

a = 7.8973 Å, b = 7.8973 Å, c = 7.8973 Å
α = 142.57°, β = 142.57°, γ = 53.97°
Closest atoms and distances in Å follow each position.
Atoms (fractional coordinates):
Y 0.1244 0.1244 0.0000  5 As 2.78-3.08
Y 0.8756 0.8756 0.0000  5 As 2.78-3.08
As 0.0000 0.5000 0.5000  2 Au 2.53
As 0.3219 0.3219 0.0000  1 Au 2.51, 1 Y 2.78
As 0.5000 0.0000 0.5000  2 Au 2.53
As 0.6781 0.6781 0.0000  1 Au 2.51, 1 Y 2.78
Au 0.5000 0.5000 0.0000  6 As 2.51-2.53

Theoretical density (Mg/m³): 6.20
DOS(E_F) (states/eV/atom): 0.61
Formation energy (eV per atom): -0.2780
Symmetry: I4/mmm, No. 139

=====

# Y2AsAu

Y2AsAu after structural relaxation (PBE-GGA, the Alexandria database).

a = 5.0969 Å, b = 5.0969 Å, c = 5.0969 Å
α = 60.00°, β = 60.00°, γ = 60.00°
Closest atoms and distances in Å follow each position.
Atoms (fractional coordinates):
Y 0.0000 0.0000 0.0000  4 Y 3.12, 4 As 3.12
Y 0.2500 0.2500 0.2500  4 Au 3.12, 4 Y 3.12
As 0.7500 0.7500 0.7500  4 Y 3.12, 4 Au 3.12
Au 0.5000 0.5000 0.5000  4 As 3.12, 4 Y 3.12

Theoretical density (Mg/m³): 7.98
DOS(E_F) (states/eV/atom): 1.05
Formation energy (eV per atom): -0.1818
Symmetry: F-43m, No. 216

=====

# YAsAu

YAsAu after structural relaxation (PBE-GGA, the Alexandria database).

a = 5.1829 Å, b = 5.1829 Å, c = 5.1829 Å
α = 135.62°, β = 135.62°, γ = 64.57°
Closest atoms and distances in Å follow each position.
Atoms (fractional coordinates):
Y 0.0000 0.0000 0.0000  5 Au 2.91-3.13, 5 As 3.04-3.11
As 0.6447 0.6447 0.0000  1 Au 2.74, 4 Y 3.04
Au 0.3321 0.3321 0.0000  1 As 2.74, 1 Y 2.91

Theoretical density (Mg/m³): 8.92
DOS(E_F) (states/eV/atom): 0.52
Formation energy (eV per atom): -0.6957
Symmetry: I4mm, No. 107

=====

# Y2AsAu

Y2AsAu after structural relaxation (PBE-GGA, the Alexandria database).

a = 3.6462 Å, b = 3.6499 Å, c = 6.9397 Å
α = 90.00°, β = 91.16°, γ = 90.00°
Closest atoms and distances in Å follow each position.
Atoms (fractional coordinates):
Y 0.0096 0.0000 0.2593  4 As 3.03-3.11, 4 Au 3.14-3.15, 1 Y 3.34
Y 0.9904 0.0000 0.7407  4 As 3.03-3.11, 4 Au 3.14-3.15, 1 Y 3.34
As 0.5000 0.5000 0.5000  8 Y 3.03-3.11
Au 0.5000 0.5000 0.0000  8 Y 3.14-3.15, 2 As 3.47

Theoretical density (Mg/m³): 8.09
DOS(E_F) (states/eV/atom): 0.56
Formation energy (eV per atom): -0.9844
Symmetry: P2/m, No. 10

=====

# ZnAsAu4

ZnAsAu4 after structural relaxation (PBE-GGA, the Alexandria database).

a = 5.5075 Å, b = 5.5075 Å, c = 5.5075 Å
α = 60.00°, β = 60.00°, γ = 60.00°
Closest atoms and distances in Å follow each position.
Atoms (fractional coordinates):
Zn 0.0000 0.0000 0.0000  12 Au 3.23, 4 As 3.37
As 0.7500 0.7500 0.7500  12 Au 3.23, 4 Zn 3.37
Au 0.3747 0.3747 0.3747  6 Au 2.75-2.76
Au 0.3747 0.3747 0.8758  6 Au 2.75-2.76
Au 0.3747 0.8758 0.3747  6 Au 2.75-2.76
Au 0.8758 0.3747 0.3747  6 Au 2.75-2.76

Theoretical density (Mg/m³): 13.05
DOS(E_F) (states/eV/atom): 0.70
Formation energy (eV per atom): 0.2443
Symmetry: F-43m, No. 216

=====

# Zn2As2Au

Zn2As2Au after structural relaxation (PBE-GGA, the Alexandria database).

a = 7.4752 Å, b = 7.4752 Å, c = 7.4752 Å
α = 151.33°, β = 151.33°, γ = 40.99°
Closest atoms and distances in Å follow each position.
Atoms (fractional coordinates):
Zn 0.0897 0.0897 0.0000  1 Zn 2.51
Zn 0.9103 0.9103 0.0000  1 Zn 2.51
As 0.2500 0.7500 0.5000  4 As 2.62, 4 Zn 2.91
As 0.7500 0.2500 0.5000  4 As 2.62, 4 Zn 2.91
Au 0.5000 0.5000 0.0000  8 Zn 2.90

Theoretical density (Mg/m³): 8.27
DOS(E_F) (states/eV/atom): 0.38
Energy above the lowest structure with this stoichiometry (meV per atom): 50
Formation energy (eV per atom): 0.1998
Symmetry: I4/mmm, No. 139

=====

# Zn4AsAu

Zn4AsAu after structural relaxation (PBE-GGA, the Alexandria database).

a = 5.1829 Å, b = 5.1829 Å, c = 5.1829 Å
α = 60.00°, β = 60.00°, γ = 60.00°
Closest atoms and distances in Å follow each position.
Atoms (fractional coordinates):
Zn 0.1252 0.1252 0.1252  6 Zn 2.59
Zn 0.1252 0.1252 0.6245  6 Zn 2.59
Zn 0.1252 0.6245 0.1252  6 Zn 2.59
Zn 0.6245 0.1252 0.1252  6 Zn 2.59
As 0.7500 0.7500 0.7500  12 Zn 3.04, 4 Au 3.17
Au 0.5000 0.5000 0.5000  12 Zn 3.04, 4 As 3.17

Theoretical density (Mg/m³): 9.00
DOS(E_F) (states/eV/atom): 0.77
Formation energy (eV per atom): 0.1318
Symmetry: F-43m, No. 216

=====

Look up the formation energy of the second one.
-0.2780 eV per atom